Here is crystalline FeTeI2N at its relaxed geometry from Alexandria. Energies are from PBE.

Summary:
Formation energy (no corrections) (eV/atom): 1.170
E above lowest polymorph (eV/atom): 0.647

The structure in CIF format:
```
data_FeTeI2N
_space_group_name_H-M_alt 'P 1'
_space_group_IT_number 1
_cell_length_a 6.196
_cell_length_b 6.196
_cell_length_c 3.975
_cell_angle_alpha 90.00
_cell_angle_beta 90.00
_cell_angle_gamma 90.00
loop_
_space_group_symop_operation_xyz
'x,y,z'
loop_
_atom_site_label
_atom_site_type_symbol
_atom_site_fract_x
_atom_site_fract_y
_atom_site_fract_z
Fe1 Fe 0.000 0.000 0.000
Te1 Te 0.500 0.500 0.500
I1 I 0.000 0.500 0.500
I2 I 0.500 0.000 0.500
N1 N 0.500 0.500 0.000
```